(1)
{
  "formula": "Si4Ir2Rh",
  "functional": "PBE",
  "state": "relaxed",
  "lattice_angstrom": [[10.730, 0.000, 0.000], [0.000, 3.650, 0.000], [0.000, 0.000, 10.788]],
  "species": ["Si", "Si", "Si", "Si", "Si", "Si", "Si", "Si", "Si", "Si", "Si", "Si", "Si", "Si", "Si", "Si", "Ir", "Ir", "Ir", "Ir", "Ir", "Ir", "Ir", "Ir", "Rh", "Rh", "Rh", "Rh"],
  "fractional_positions": [[0.005, 0.250, 0.093], [0.063, 0.250, 0.685], [0.160, 0.750, 0.293], [0.192, 0.750, 0.563], [0.308, 0.250, 0.063], [0.340, 0.250, 0.793], [0.437, 0.750, 0.185], [0.495, 0.750, 0.593], [0.505, 0.250, 0.407], [0.563, 0.250, 0.815], [0.660, 0.750, 0.207], [0.692, 0.750, 0.937], [0.808, 0.250, 0.437], [0.840, 0.250, 0.707], [0.937, 0.750, 0.315], [0.995, 0.750, 0.907], [0.151, 0.750, 0.065], [0.182, 0.750, 0.787], [0.318, 0.250, 0.287], [0.349, 0.250, 0.565], [0.651, 0.750, 0.435], [0.682, 0.750, 0.713], [0.818, 0.250, 0.213], [0.849, 0.250, 0.935], [0.099, 0.250, 0.459], [0.401, 0.750, 0.959], [0.599, 0.250, 0.041], [0.901, 0.750, 0.541]],
  "e_tot_ev_per_atom": -7.10,
  "space_group": "Pnma (62)",
  "e_form_raw_ev_per_atom": -0.420
}



(2)
{
  "formula": "SiIr3Rh",
  "functional": "PBE",
  "state": "relaxed",
  "lattice_angstrom": [[4.382, 0.000, 0.000], [0.000, 4.382, 0.000], [0.000, 0.000, 4.382]],
  "species": ["Si", "Ir", "Ir", "Ir", "Rh"],
  "fractional_positions": [[0.000, 0.000, 0.000], [0.000, 0.000, 0.500], [0.000, 0.500, 0.000], [0.500, 0.000, 0.000], [0.500, 0.500, 0.500]],
  "e_tot_ev_per_atom": -6.96,
  "polymorph_energy_mev_per_atom": 0.0,
  "space_group": "Pm-3m (221)",
  "e_form_raw_ev_per_atom": 0.915
}



(3)
{
  "formula": "SiIrRh",
  "functional": "PBE",
  "state": "relaxed",
  "lattice_angstrom": [[2.823, 0.000, 0.000], [-1.411, 2.444, 0.000], [0.000, 0.000, 6.031]],
  "species": ["Si", "Ir", "Rh"],
  "fractional_positions": [[0.000, 0.000, 0.000], [0.667, 0.333, 0.302], [0.333, 0.667, 0.702]],
  "e_tot_ev_per_atom": -7.66,
  "polymorph_energy_mev_per_atom": 139.8,
  "space_group": "P3m1 (156)",
  "e_form_raw_ev_per_atom": -0.449
}



(4)
{
  "formula": "Si2IrRh",
  "functional": "PBE",
  "state": "relaxed",
  "lattice_angstrom": [[2.904, 0.000, 0.000], [-1.452, 2.515, 0.000], [0.000, 0.000, 23.238]],
  "species": ["Si", "Si", "Si", "Si", "Si", "Si", "Ir", "Ir", "Ir", "Rh", "Rh", "Rh"],
  "fractional_positions": [[0.000, 0.000, 0.000], [0.000, 0.000, 0.249], [0.333, 0.667, 0.667], [0.333, 0.667, 0.915], [0.667, 0.333, 0.333], [0.667, 0.333, 0.582], [0.000, 0.000, 0.741], [0.333, 0.667, 0.407], [0.667, 0.333, 0.074], [0.000, 0.000, 0.510], [0.333, 0.667, 0.176], [0.667, 0.333, 0.843]],
  "e_tot_ev_per_atom": -7.02,
  "polymorph_energy_mev_per_atom": 395.0,
  "space_group": "R3m (160)",
  "e_form_raw_ev_per_atom": -0.256
}



(5)
{
  "formula": "Si2IrRh",
  "functional": "PBE",
  "state": "relaxed",
  "lattice_angstrom": [[5.340, 0.000, 0.000], [0.000, 5.340, 0.000], [0.000, 0.000, 10.663]],
  "species": ["Si", "Si", "Si", "Si", "Si", "Si", "Si", "Si", "Ir", "Ir", "Ir", "Ir", "Rh", "Rh", "Rh", "Rh"],
  "fractional_positions": [[0.249, 0.250, 0.125], [0.250, 0.749, 0.375], [0.250, 0.751, 0.875], [0.251, 0.250, 0.625], [0.749, 0.750, 0.625], [0.750, 0.249, 0.875], [0.750, 0.251, 0.375], [0.751, 0.750, 0.125], [0.000, 0.000, 0.000], [0.000, 0.500, 0.250], [0.500, 0.000, 0.750], [0.500, 0.500, 0.500], [0.000, 0.000, 0.500], [0.000, 0.500, 0.750], [0.500, 0.000, 0.250], [0.500, 0.500, 0.000]],
  "e_tot_ev_per_atom": -6.97,
  "polymorph_energy_mev_per_atom": 441.5,
  "space_group": "I-42d (122)",
  "e_form_raw_ev_per_atom": -0.209
}



(6)
{
  "formula": "Si2IrRh",
  "functional": "PBE",
  "state": "relaxed",
  "lattice_angstrom": [[2.863, 0.000, 0.000], [-1.431, 2.479, 0.000], [0.000, 0.000, 22.974]],
  "species": ["Si", "Si", "Si", "Si", "Si", "Si", "Ir", "Ir", "Ir", "Rh", "Rh", "Rh"],
  "fractional_positions": [[0.000, 0.000, 0.249], [0.000, 0.000, 0.751], [0.333, 0.667, 0.418], [0.333, 0.667, 0.916], [0.667, 0.333, 0.084], [0.667, 0.333, 0.582], [0.000, 0.000, 0.000], [0.333, 0.667, 0.667], [0.667, 0.333, 0.333], [0.000, 0.000, 0.500], [0.333, 0.667, 0.167], [0.667, 0.333, 0.833]],
  "e_tot_ev_per_atom": -7.27,
  "polymorph_energy_mev_per_atom": 145.1,
  "space_group": "R-3m (166)",
  "e_form_raw_ev_per_atom": -0.505
}



(7)
{
  "formula": "Si2IrRh",
  "functional": "PBE",
  "state": "relaxed",
  "lattice_angstrom": [[2.837, 0.000, 0.000], [0.000, 2.837, 0.000], [0.000, 0.000, 6.645]],
  "species": ["Si", "Si", "Ir", "Rh"],
  "fractional_positions": [[0.000, 0.000, 0.248], [0.000, 0.000, 0.752], [0.500, 0.500, 0.500], [0.500, 0.500, 0.000]],
  "e_tot_ev_per_atom": -7.20,
  "polymorph_energy_mev_per_atom": 213.0,
  "space_group": "P4/mmm (123)",
  "e_form_raw_ev_per_atom": -0.438
}



(8)
{
  "formula": "Si2IrRh",
  "functional": "PBE",
  "state": "relaxed",
  "lattice_angstrom": [[6.108, 0.000, 0.000], [0.000, 6.108, 0.000], [0.000, 0.000, 6.108]],
  "species": ["Si", "Si", "Si", "Si", "Si", "Si", "Si", "Si", "Ir", "Ir", "Ir", "Ir", "Rh", "Rh", "Rh", "Rh"],
  "fractional_positions": [[0.000, 0.000, 0.000], [0.000, 0.500, 0.500], [0.250, 0.250, 0.250], [0.250, 0.750, 0.750], [0.500, 0.000, 0.500], [0.500, 0.500, 0.000], [0.750, 0.250, 0.750], [0.750, 0.750, 0.250], [0.250, 0.250, 0.750], [0.250, 0.750, 0.250], [0.750, 0.250, 0.250], [0.750, 0.750, 0.750], [0.000, 0.000, 0.500], [0.000, 0.500, 0.000], [0.500, 0.000, 0.000], [0.500, 0.500, 0.500]],
  "e_tot_ev_per_atom": -6.70,
  "polymorph_energy_mev_per_atom": 712.7,
  "space_group": "F-43m (216)",
  "e_form_raw_ev_per_atom": 0.062
}



(9)
{
  "formula": "SmSiIrRh",
  "functional": "PBE",
  "state": "relaxed",
  "lattice_angstrom": [[3.952, 0.000, 0.000], [0.000, 4.089, 0.000], [0.000, 0.000, 9.867]],
  "species": ["Sm", "Sm", "Si", "Si", "Ir", "Ir", "Rh", "Rh"],
  "fractional_positions": [[0.000, 0.000, 0.000], [0.500, 0.500, 0.500], [0.000, 0.500, 0.249], [0.500, 0.000, 0.749], [0.000, 0.000, 0.623], [0.500, 0.500, 0.123], [0.000, 0.000, 0.363], [0.500, 0.500, 0.863]],
  "e_tot_ev_per_atom": -7.22,
  "space_group": "Imm2 (44)",
  "e_form_raw_ev_per_atom": -0.631
}



(10)
{
  "formula": "Sm2Si4IrRh3",
  "functional": "PBE",
  "state": "relaxed",
  "lattice_angstrom": [[4.160, 0.000, 0.000], [0.000, 4.160, 0.000], [0.000, 0.000, 9.855]],
  "species": ["Sm", "Sm", "Si", "Si", "Si", "Si", "Ir", "Rh", "Rh", "Rh"],
  "fractional_positions": [[0.000, 0.500, 0.243], [0.500, 0.000, 0.757], [0.000, 0.000, 0.000], [0.000, 0.500, 0.630], [0.500, 0.000, 0.370], [0.500, 0.500, 0.000], [0.000, 0.000, 0.500], [0.000, 0.500, 0.874], [0.500, 0.000, 0.126], [0.500, 0.500, 0.500]],
  "e_tot_ev_per_atom": -7.26,
  "space_group": "P-4m2 (115)",
  "e_form_raw_ev_per_atom": -1.052
}



(11)
{
  "formula": "SmSi3IrRh",
  "functional": "PBE",
  "state": "relaxed",
  "lattice_angstrom": [[3.142, -6.578, 0.000], [3.142, 6.578, 0.000], [0.000, 0.000, 5.676]],
  "species": ["Sm", "Sm", "Si", "Si", "Si", "Si", "Si", "Si", "Ir", "Ir", "Rh", "Rh"],
  "fractional_positions": [[0.205, 0.795, 0.750], [0.795, 0.205, 0.250], [0.222, 0.778, 0.250], [0.291, 0.291, 0.000], [0.291, 0.291, 0.500], [0.709, 0.709, 0.000], [0.709, 0.709, 0.500], [0.778, 0.222, 0.750], [0.392, 0.608, 0.250], [0.608, 0.392, 0.750], [0.052, 0.948, 0.250], [0.948, 0.052, 0.750]],
  "e_tot_ev_per_atom": -6.83,
  "space_group": "Cmcm (63)",
  "e_form_raw_ev_per_atom": -0.629
}



(12)
{
  "formula": "SrSi3IrRh",
  "functional": "PBE",
  "state": "relaxed",
  "lattice_angstrom": [[3.177, -6.277, 0.000], [3.177, 6.277, 0.000], [0.000, 0.000, 6.091]],
  "species": ["Sr", "Sr", "Si", "Si", "Si", "Si", "Si", "Si", "Ir", "Ir", "Rh", "Rh"],
  "fractional_positions": [[0.237, 0.763, 0.750], [0.763, 0.237, 0.250], [0.219, 0.781, 0.250], [0.290, 0.290, 0.000], [0.290, 0.290, 0.500], [0.710, 0.710, 0.000], [0.710, 0.710, 0.500], [0.781, 0.219, 0.750], [0.395, 0.605, 0.250], [0.605, 0.395, 0.750], [0.045, 0.955, 0.250], [0.955, 0.045, 0.750]],
  "e_tot_ev_per_atom": -6.27,
  "space_group": "Cmcm (63)",
  "e_form_raw_ev_per_atom": -0.575
}



(13)
{
  "formula": "TbSiIrRh",
  "functional": "PBE",
  "state": "relaxed",
  "lattice_angstrom": [[3.893, 0.000, 0.000], [0.000, 4.039, 0.000], [0.000, 0.000, 9.912]],
  "species": ["Tb", "Tb", "Si", "Si", "Ir", "Ir", "Rh", "Rh"],
  "fractional_positions": [[0.000, 0.000, 0.000], [0.500, 0.500, 0.500], [0.000, 0.500, 0.248], [0.500, 0.000, 0.748], [0.000, 0.000, 0.621], [0.500, 0.500, 0.121], [0.000, 0.000, 0.363], [0.500, 0.500, 0.863]],
  "e_tot_ev_per_atom": -7.22,
  "space_group": "Imm2 (44)",
  "e_form_raw_ev_per_atom": -0.656
}



(14)
{
  "formula": "Tb2Si4Ir3Rh",
  "functional": "PBE",
  "state": "relaxed",
  "lattice_angstrom": [[4.142, 0.000, 0.000], [0.000, 4.142, 0.000], [0.000, 0.000, 9.839]],
  "species": ["Tb", "Tb", "Si", "Si", "Si", "Si", "Ir", "Ir", "Ir", "Rh"],
  "fractional_positions": [[0.000, 0.500, 0.245], [0.500, 0.000, 0.755], [0.000, 0.000, 0.000], [0.000, 0.500, 0.630], [0.500, 0.000, 0.370], [0.500, 0.500, 0.000], [0.000, 0.500, 0.872], [0.500, 0.000, 0.128], [0.500, 0.500, 0.500], [0.000, 0.000, 0.500]],
  "e_tot_ev_per_atom": -7.56,
  "space_group": "P-4m2 (115)",
  "e_form_raw_ev_per_atom": -1.074
}



(15)
{
  "formula": "SiTc2IrRh",
  "functional": "PBE",
  "state": "relaxed",
  "lattice_angstrom": [[4.356, 0.000, 0.000], [0.000, 4.356, 0.000], [0.000, 0.000, 4.347]],
  "species": ["Si", "Tc", "Tc", "Ir", "Rh"],
  "fractional_positions": [[0.000, 0.000, 0.000], [0.000, 0.500, 0.000], [0.500, 0.000, 0.000], [0.000, 0.000, 0.500], [0.500, 0.500, 0.500]],
  "e_tot_ev_per_atom": -7.56,
  "space_group": "P4/mmm (123)",
  "e_form_raw_ev_per_atom": 0.913
}



(16)
{
  "formula": "Th2Si3Ir4Rh",
  "functional": "PBE",
  "state": "relaxed",
  "lattice_angstrom": [[4.124, 0.000, 0.000], [0.000, 4.124, 0.000], [0.000, 0.000, 10.496]],
  "species": ["Th", "Th", "Si", "Si", "Si", "Ir", "Ir", "Ir", "Ir", "Rh"],
  "fractional_positions": [[0.000, 0.500, 0.246], [0.500, 0.000, 0.754], [0.000, 0.000, 0.000], [0.000, 0.500, 0.624], [0.500, 0.000, 0.376], [0.000, 0.000, 0.500], [0.000, 0.500, 0.850], [0.500, 0.000, 0.150], [0.500, 0.500, 0.500], [0.500, 0.500, 0.000]],
  "e_tot_ev_per_atom": -8.32,
  "space_group": "P-4m2 (115)",
  "e_form_raw_ev_per_atom": -0.934
}



(17)
{
  "formula": "Th4Si3IrRh12",
  "functional": "PBE",
  "state": "relaxed",
  "lattice_angstrom": [[-4.574, 4.574, 4.574], [4.574, -4.574, 4.574], [4.574, 4.574, -4.574]],
  "species": ["Th", "Th", "Th", "Th", "Si", "Si", "Si", "Ir", "Rh", "Rh", "Rh", "Rh", "Rh", "Rh", "Rh", "Rh", "Rh", "Rh", "Rh", "Rh"],
  "fractional_positions": [[0.000, 0.000, 0.500], [0.000, 0.500, 0.000], [0.500, 0.000, 0.000], [0.500, 0.500, 0.500], [0.000, 0.500, 0.500], [0.500, 0.000, 0.500], [0.500, 0.500, 0.000], [0.000, 0.000, 0.000], [0.000, 0.265, 0.265], [0.000, 0.735, 0.735], [0.250, 0.500, 0.750], [0.250, 0.750, 0.500], [0.265, 0.000, 0.265], [0.265, 0.265, 0.000], [0.500, 0.250, 0.750], [0.500, 0.750, 0.250], [0.735, 0.000, 0.735], [0.735, 0.735, 0.000], [0.750, 0.250, 0.500], [0.750, 0.500, 0.250]],
  "e_tot_ev_per_atom": -7.60,
  "space_group": "Im-3m (229)",
  "e_form_raw_ev_per_atom": -0.444
}



(18)
{
  "formula": "Th2Si6IrRh",
  "functional": "PBE",
  "state": "relaxed",
  "lattice_angstrom": [[3.204, 1.850, 10.632], [-3.204, 1.850, 10.632], [0.000, -3.700, 10.632]],
  "species": ["Th", "Th", "Th", "Th", "Si", "Si", "Si", "Si", "Si", "Si", "Si", "Si", "Si", "Si", "Si", "Si", "Ir", "Ir", "Rh", "Rh"],
  "fractional_positions": [[0.146, 0.146, 0.146], [0.293, 0.293, 0.293], [0.707, 0.707, 0.707], [0.854, 0.854, 0.854], [0.139, 0.599, 0.599], [0.189, 0.189, 0.808], [0.189, 0.808, 0.189], [0.192, 0.811, 0.811], [0.401, 0.401, 0.861], [0.401, 0.861, 0.401], [0.599, 0.139, 0.599], [0.599, 0.599, 0.139], [0.808, 0.189, 0.189], [0.811, 0.192, 0.811], [0.811, 0.811, 0.192], [0.861, 0.401, 0.401], [0.383, 0.383, 0.383], [0.617, 0.617, 0.617], [0.000, 0.000, 0.000], [0.500, 0.500, 0.500]],
  "e_tot_ev_per_atom": -6.78,
  "space_group": "R-3m (166)",
  "e_form_raw_ev_per_atom": -0.419
}



(19)
{
  "formula": "Th2Si4Ir3Rh",
  "functional": "PBE",
  "state": "relaxed",
  "lattice_angstrom": [[4.196, 0.000, 0.000], [0.000, 4.196, 0.000], [0.000, 0.000, 9.956]],
  "species": ["Th", "Th", "Si", "Si", "Si", "Si", "Ir", "Ir", "Ir", "Rh"],
  "fractional_positions": [[0.000, 0.500, 0.245], [0.500, 0.000, 0.755], [0.000, 0.000, 0.000], [0.000, 0.500, 0.630], [0.500, 0.000, 0.370], [0.500, 0.500, 0.000], [0.000, 0.500, 0.874], [0.500, 0.000, 0.126], [0.500, 0.500, 0.500], [0.000, 0.000, 0.500]],
  "e_tot_ev_per_atom": -8.15,
  "space_group": "P-4m2 (115)",
  "e_form_raw_ev_per_atom": -1.102
}



(20)
{
  "formula": "ThSi2IrRh",
  "functional": "PBE",
  "state": "relaxed",
  "lattice_angstrom": [[4.119, 0.000, 0.000], [0.000, 4.119, 0.000], [0.000, 0.000, 10.187]],
  "species": ["Th", "Th", "Si", "Si", "Si", "Si", "Ir", "Ir", "Rh", "Rh"],
  "fractional_positions": [[0.000, 0.000, 0.000], [0.500, 0.500, 0.500], [0.000, 0.000, 0.379], [0.000, 0.000, 0.621], [0.500, 0.500, 0.121], [0.500, 0.500, 0.879], [0.000, 0.500, 0.750], [0.500, 0.000, 0.250], [0.000, 0.500, 0.250], [0.500, 0.000, 0.750]],
  "e_tot_ev_per_atom": -7.98,
  "space_group": "I-4m2 (119)",
  "e_form_raw_ev_per_atom": -1.084
}



(21)
{
  "formula": "Th3Si2IrRh9",
  "functional": "PBE",
  "state": "relaxed",
  "lattice_angstrom": [[5.655, 0.000, 0.000], [-2.827, 4.897, 0.000], [0.000, 0.000, 10.573]],
  "species": ["Th", "Th", "Th", "Si", "Si", "Ir", "Rh", "Rh", "Rh", "Rh", "Rh", "Rh", "Rh", "Rh", "Rh"],
  "fractional_positions": [[0.000, 0.000, 0.000], [0.333, 0.667, 0.601], [0.667, 0.333, 0.399], [0.333, 0.667, 0.157], [0.667, 0.333, 0.843], [0.000, 0.000, 0.500], [0.000, 0.500, 0.000], [0.166, 0.332, 0.313], [0.166, 0.834, 0.313], [0.332, 0.166, 0.687], [0.500, 0.000, 0.000], [0.500, 0.500, 0.000], [0.668, 0.834, 0.313], [0.834, 0.166, 0.687], [0.834, 0.668, 0.687]],
  "e_tot_ev_per_atom": -7.74,
  "space_group": "P-3m1 (164)",
  "e_form_raw_ev_per_atom": -0.534
}



(22)
{
  "formula": "TmSi2IrRh",
  "functional": "PBE",
  "state": "relaxed",
  "lattice_angstrom": [[4.057, 0.000, 0.000], [0.000, 4.057, 0.000], [0.000, 0.000, 9.911]],
  "species": ["Tm", "Tm", "Si", "Si", "Si", "Si", "Ir", "Ir", "Rh", "Rh"],
  "fractional_positions": [[0.000, 0.000, 0.000], [0.500, 0.500, 0.500], [0.000, 0.000, 0.380], [0.000, 0.000, 0.620], [0.500, 0.500, 0.120], [0.500, 0.500, 0.880], [0.000, 0.500, 0.250], [0.500, 0.000, 0.750], [0.000, 0.500, 0.750], [0.500, 0.000, 0.250]],
  "e_tot_ev_per_atom": -7.40,
  "space_group": "I-4m2 (119)",
  "e_form_raw_ev_per_atom": -1.095
}



(23)
{
  "formula": "TmSi2IrRh2",
  "functional": "PBE",
  "state": "relaxed",
  "lattice_angstrom": [[4.474, 0.000, 0.000], [0.000, 4.474, 0.000], [0.000, 0.000, 5.493]],
  "species": ["Tm", "Si", "Si", "Ir", "Rh", "Rh"],
  "fractional_positions": [[0.000, 0.000, 0.000], [0.000, 0.500, 0.500], [0.500, 0.000, 0.500], [0.000, 0.000, 0.500], [0.500, 0.500, 0.248], [0.500, 0.500, 0.752]],
  "e_tot_ev_per_atom": -6.83,
  "space_group": "P4/mmm (123)",
  "e_form_raw_ev_per_atom": -0.345
}